Here is a geometry-optimized CrCu2Ru structure from Alexandria. Energies are from PBEsol.

a b c (Å): 4.567 4.567 4.319
angles (deg): 99.98 99.98 32.72
Positions (direct):
Cr 0.000 0.000 0.000
Cu 0.251 0.251 0.754
Cu 0.749 0.749 0.246
Ru 0.500 0.500 0.500

The final energy is -27.91 eV per cell. Its space group is C2/m.

Here is a geometry-optimized CrCuS2 structure from Alexandria. Energies are from PBEsol.

a b c (Å): 6.353 6.353 6.353
angles (deg): 31.59 31.59 31.59
Positions (direct):
Cr 0.000 0.000 0.000
Cu 0.854 0.854 0.854
S 0.254 0.254 0.254
S 0.734 0.734 0.734

As for the uncorrected formation energy: -0.5170 eV/atom. Its space group is R3m.

Here is a geometry-optimized Cr2CuS4 structure from Alexandria. Energies are from PBEsol.

a b c (Å): 6.483 6.483 5.561
angles (deg): 113.31 113.31 27.56
Positions (direct):
Cr 0.244 0.244 0.187
Cr 0.756 0.756 0.813
Cu 0.500 0.500 0.500
S 0.148 0.148 0.482
S 0.387 0.387 0.048
S 0.613 0.613 0.952
S 0.852 0.852 0.518

As for the uncorrected formation energy: -0.5867 eV/atom. Its space group is C2/m.

The following volume values (in Å³/atom) correspond, in order, to the records above: 12.0; 15.6; 14.1.